# Mg2ZrPb, PBEsol geometry, DFT meta-GGA SCAN
# Size of the total moment (μB/atom): 0.00
# Formation energy (eV per formula unit): -0.5
# E (eV/atom): -29.2315
data_Mg2ZrPb
_cell_length_a 11.3168
_cell_length_b 3.1457
_cell_length_c 5.7481
_cell_angle_alpha 90.00
_cell_angle_beta 116.46
_cell_angle_gamma 90.00
_space_group_name_H-M_alt 'C 1 m 1'
_space_group_IT_number 8
_space_group_name_Hall 'C -2y'
loop_
_atom_site_label
_atom_site_type_symbol
_atom_site_fract_x
_atom_site_fract_y
_atom_site_fract_z
Mg1 Mg 0.0000 0.0000 0.0000
Mg2 Mg 0.2481 0.0000 0.9309
Zr1 Zr 0.4981 0.0000 0.4923
Pb1 Pb 0.2491 0.5000 0.4435



# YGe3Au, PBEsol geometry, DFT meta-GGA SCAN
# Size of the total moment (μB/atom): 0.00
# Formation energy (eV per formula unit): 5.5
# E (eV/atom): -29.7467
data_YGe3Au
_cell_length_a 5.2658
_cell_length_b 5.2658
_cell_length_c 5.2658
_cell_angle_alpha 90.00
_cell_angle_beta 90.00
_cell_angle_gamma 90.00
_space_group_name_H-M_alt 'P m -3 m'
_space_group_IT_number 221
_space_group_name_Hall '-P 4 2 3'
loop_
_atom_site_label
_atom_site_type_symbol
_atom_site_fract_x
_atom_site_fract_y
_atom_site_fract_z
Y1 Y 0.0000 0.0000 0.0000
Ge1 Ge 0.0000 0.0000 0.5000
Au1 Au 0.5000 0.5000 0.5000



# YBeP2, PBEsol geometry, DFT meta-GGA SCAN
# Size of the total moment (μB/atom): 0.00
# Formation energy (eV per formula unit): -0.7
# E (eV/atom): -13.4317
data_YBeP2
_cell_length_a 3.9509
_cell_length_b 3.9509
_cell_length_c 8.0873
_cell_angle_alpha 90.00
_cell_angle_beta 90.00
_cell_angle_gamma 90.00
_space_group_name_H-M_alt 'I 4/m m m'
_space_group_IT_number 139
_space_group_name_Hall '-I 4 2'
loop_
_atom_site_label
_atom_site_type_symbol
_atom_site_fract_x
_atom_site_fract_y
_atom_site_fract_z
Y1 Y 0.0000 0.0000 0.0000
Be1 Be 0.0000 0.0000 0.5000
P1 P 0.0000 0.5000 0.2500



# NaAgF4, PBEsol geometry, DFT meta-GGA SCAN
# Size of the total moment (μB/atom): 0.00
# Formation energy (no corrections) (meV/atom): -1849
# E (eV/atom): -10.1392
data_NaAgF4
_cell_length_a 5.5166
_cell_length_b 5.5166
_cell_length_c 10.4812
_cell_angle_alpha 90.00
_cell_angle_beta 90.00
_cell_angle_gamma 90.00
_space_group_name_H-M_alt 'I 4/m c m'
_space_group_IT_number 140
_space_group_name_Hall '-I 4 2c'
loop_
_atom_site_label
_atom_site_type_symbol
_atom_site_fract_x
_atom_site_fract_y
_atom_site_fract_z
Na1 Na 0.0000 0.0000 0.2500
Ag1 Ag 0.0000 0.5000 0.0000
F1 F 0.1782 0.3218 0.1270



# Ta3SnMo, PBEsol geometry, DFT meta-GGA SCAN
# Size of the total moment (μB/atom): 0.00
# Formation energy (eV per formula unit): 6.1
# E (eV/atom): -52.8831
data_Ta3SnMo
_cell_length_a 4.7820
_cell_length_b 4.7820
_cell_length_c 4.7820
_cell_angle_alpha 90.00
_cell_angle_beta 90.00
_cell_angle_gamma 90.00
_space_group_name_H-M_alt 'P m -3 m'
_space_group_IT_number 221
_space_group_name_Hall '-P 4 2 3'
loop_
_atom_site_label
_atom_site_type_symbol
_atom_site_fract_x
_atom_site_fract_y
_atom_site_fract_z
Ta1 Ta 0.0000 0.0000 0.5000
Sn1 Sn 0.5000 0.5000 0.5000
Mo1 Mo 0.0000 0.0000 0.0000



# SrZn2Co, PBEsol geometry, DFT meta-GGA SCAN
# Size of the total moment (μB/atom): 0.31
# Formation energy (eV per formula unit): 0.8
# E (eV/atom): -16.4432
data_SrZn2Co
_cell_length_a 3.2800
_cell_length_b 3.2800
_cell_length_c 6.8567
_cell_angle_alpha 90.00
_cell_angle_beta 90.00
_cell_angle_gamma 90.00
_space_group_name_H-M_alt 'P 4 m m'
_space_group_IT_number 99
_space_group_name_Hall 'P 4 -2'
loop_
_atom_site_label
_atom_site_type_symbol
_atom_site_fract_x
_atom_site_fract_y
_atom_site_fract_z
Sr1 Sr 0.0000 0.0000 0.0000
Zn1 Zn 0.0000 0.0000 0.5619
Zn2 Zn 0.5000 0.5000 0.3418
Co1 Co 0.5000 0.5000 0.6868